VASP calculation (SCAN) on a PBEsol-optimized structure of BeSi2Pt2.

a b c (Å): 6.3513 6.3513 3.5127
angles (deg): 90.00 90.00 90.00
Sites, in units of the cell vectors:
Be 0.0000 0.0000 0.0000
Be 0.5000 0.5000 0.0000
Si 0.1475 0.3525 0.5000
Si 0.3525 0.8525 0.5000
Si 0.6475 0.1475 0.5000
Si 0.8525 0.6475 0.5000
Pt 0.1619 0.6619 0.0000
Pt 0.3381 0.1619 0.0000
Pt 0.6619 0.8381 0.0000
Pt 0.8381 0.3381 0.0000

Crystal system: tetragonal
SG: P4/mbm
Raw formation energy in kJ per mole of atoms: -27.6
Energy in eV per atom: -33.240
Energy above the most stable polymorph in this dataset in eV per atom: 0.000